# 1
Sr2AcMg: optimized geometry, PBE.

```
Sr2AcMg
1.0
4.067 0.000 0.000
-2.033 3.522 0.000
0.000 0.000 36.928
Sr Ac Mg
6 3 3
Direct
0.000 0.000 0.000
0.000 0.000 0.183
0.333 0.667 0.667
0.333 0.667 0.849
0.667 0.333 0.333
0.667 0.333 0.516
0.000 0.000 0.425
0.333 0.667 0.092
0.667 0.333 0.758
0.000 0.000 0.591
0.333 0.667 0.258
0.667 0.333 0.925
```

Symmetry: No. 160
Total magnetic moment in μB/f.u.: 0.0
Total DFT energy (no corrections) in eV/atom: -2.17
Polymorph energy (0 for the lowest one) in eV per atom: 0.053
ρ in Mg/m³: 4.0
Formation energy from the elements in eV per atom: 0.09



# 2
Sr2Ac2Mg3: optimized geometry, PBE.

```
Sr2Ac2Mg3
1.0
10.076 0.000 0.000
0.000 5.823 0.000
-3.341 0.000 9.637
Sr Ac Mg
4 4 6
Direct
0.126 0.000 0.378
0.374 0.500 0.622
0.626 0.500 0.378
0.874 0.000 0.622
0.124 0.500 0.874
0.376 0.000 0.126
0.624 0.000 0.874
0.876 0.500 0.126
0.000 0.000 0.000
0.244 0.500 0.233
0.256 0.000 0.767
0.500 0.500 0.000
0.744 0.000 0.233
0.756 0.500 0.767
```

Symmetry: No. 12
Total magnetic moment in μB/f.u.: 0.0
Total DFT energy (no corrections) in eV/atom: -2.31
ρ in Mg/m³: 4.1
Formation energy from the elements in eV per atom: 0.03



# 3
Sr2AcMg: optimized geometry, PBE.

```
Sr2AcMg
1.0
3.919 0.000 0.000
-1.959 3.394 0.000
0.000 0.000 40.357
Sr Ac Mg
6 3 3
Direct
0.000 0.000 0.096
0.000 0.000 0.904
0.333 0.667 0.571
0.333 0.667 0.763
0.667 0.333 0.237
0.667 0.333 0.429
0.000 0.000 0.000
0.333 0.667 0.667
0.667 0.333 0.333
0.000 0.000 0.500
0.333 0.667 0.167
0.667 0.333 0.833
```

Symmetry: No. 166
Total magnetic moment in μB/f.u.: 0.0
Total DFT energy (no corrections) in eV/atom: -2.05
Polymorph energy (0 for the lowest one) in eV per atom: 0.182
ρ in Mg/m³: 4.0
Formation energy from the elements in eV per atom: 0.22



# 4
Sr2AcMg: optimized geometry, PBE.

```
Sr2AcMg
1.0
5.372 0.000 0.000
0.000 5.372 0.000
0.000 0.000 5.937
Sr Ac Mg
2 1 1
Direct
0.000 0.500 0.000
0.500 0.000 0.000
0.000 0.000 0.500
0.500 0.500 0.500
```

Symmetry: No. 123
Total magnetic moment in μB/f.u.: 0.0
Total DFT energy (no corrections) in eV/atom: -2.17
Polymorph energy (0 for the lowest one) in eV per atom: 0.055
ρ in Mg/m³: 4.1
Formation energy from the elements in eV per atom: 0.09



# 5
Sr12Ac5Mg3: optimized geometry, PBE.

```
Sr12Ac5Mg3
1.0
-10.673 10.673 10.673
10.673 -10.673 10.673
10.673 10.673 -10.673
Sr Ac Mg
48 20 12
Direct
0.053 0.634 0.396
0.053 0.919 0.657
0.081 0.238 0.134
0.081 0.343 0.947
0.104 0.738 0.657
0.104 0.866 0.447
0.134 0.081 0.238
0.134 0.553 0.896
0.157 0.238 0.604
0.157 0.419 0.553
0.238 0.134 0.081
0.238 0.604 0.157
0.262 0.343 0.896
0.262 0.419 0.366
0.343 0.896 0.262
0.343 0.947 0.081
0.366 0.262 0.419
0.366 0.604 0.947
0.396 0.053 0.634
0.396 0.843 0.762
0.419 0.366 0.262
0.419 0.553 0.157
0.447 0.104 0.866
0.447 0.843 0.581
0.553 0.157 0.419
0.553 0.896 0.134
0.581 0.447 0.843
0.581 0.634 0.738
0.604 0.157 0.238
0.604 0.947 0.366
0.634 0.396 0.053
0.634 0.738 0.581
0.657 0.053 0.919
0.657 0.104 0.738
0.738 0.581 0.634
0.738 0.657 0.104
0.762 0.396 0.843
0.762 0.866 0.919
0.843 0.581 0.447
0.843 0.762 0.396
0.866 0.447 0.104
0.866 0.919 0.762
0.896 0.134 0.553
0.896 0.262 0.343
0.919 0.657 0.053
0.919 0.762 0.866
0.947 0.081 0.343
0.947 0.366 0.604
0.000 0.000 0.000
0.000 0.000 0.500
0.000 0.500 0.000
0.000 0.500 0.500
0.125 0.750 0.875
0.125 0.875 0.250
0.250 0.125 0.875
0.250 0.625 0.375
0.375 0.250 0.625
0.375 0.625 0.750
0.500 0.000 0.000
0.500 0.000 0.500
0.500 0.500 0.000
0.500 0.500 0.500
0.625 0.375 0.250
0.625 0.750 0.375
0.750 0.375 0.625
0.750 0.875 0.125
0.875 0.125 0.750
0.875 0.250 0.125
0.125 0.250 0.375
0.125 0.375 0.750
0.250 0.375 0.125
0.250 0.875 0.625
0.375 0.125 0.250
0.375 0.750 0.125
0.625 0.250 0.875
0.625 0.875 0.750
0.750 0.125 0.375
0.750 0.625 0.875
0.875 0.625 0.250
0.875 0.750 0.625
```

Symmetry: No. 230
Total magnetic moment in μB/f.u.: 3.1
Total DFT energy (no corrections) in eV/atom: -1.49
ρ in Mg/m³: 3.1
Formation energy from the elements in eV per atom: 0.78



# 6
Sr2AcMg: optimized geometry, PBE.

```
Sr2AcMg
1.0
3.997 0.000 0.000
0.000 3.997 0.000
0.000 0.000 10.708
Sr Ac Mg
2 1 1
Direct
0.000 0.000 0.213
0.000 0.000 0.787
0.500 0.500 0.500
0.500 0.500 0.000
```

Symmetry: No. 123
Total magnetic moment in μB/f.u.: 0.0
Total DFT energy (no corrections) in eV/atom: -2.23
Polymorph energy (0 for the lowest one) in eV per atom: 0.000
ρ in Mg/m³: 4.1
Formation energy from the elements in eV per atom: 0.04



# 7
SrAc2Mg3: optimized geometry, PBE.

```
SrAc2Mg3
1.0
4.147 0.000 0.000
0.000 4.147 0.000
0.000 0.000 12.390
Sr Ac Mg
1 2 3
Direct
0.000 0.000 0.000
0.000 0.000 0.338
0.000 0.000 0.662
0.500 0.500 0.172
0.500 0.500 0.500
0.500 0.500 0.828
```

Symmetry: No. 123
Total magnetic moment in μB/f.u.: 0.0
Total DFT energy (no corrections) in eV/atom: -2.52
ρ in Mg/m³: 4.8
Formation energy from the elements in eV per atom: -0.07



# 8
SrAc4Mg: optimized geometry, PBE.

```
SrAc4Mg
1.0
4.041 0.000 0.000
0.000 4.041 0.000
0.000 0.000 15.837
Sr Ac Mg
1 4 1
Direct
0.000 0.000 0.000
0.000 0.000 0.363
0.000 0.000 0.637
0.500 0.500 0.192
0.500 0.500 0.808
0.500 0.500 0.500
```

Symmetry: No. 123
Total magnetic moment in μB/f.u.: 0.0
Total DFT energy (no corrections) in eV/atom: -3.29
Polymorph energy (0 for the lowest one) in eV per atom: 0.000
ρ in Mg/m³: 6.5
Formation energy from the elements in eV per atom: 0.00



# 9
SrAcMg17: optimized geometry, PBE.

```
SrAcMg17
1.0
5.245 3.028 5.133
-5.245 3.028 5.133
0.000 -6.056 5.133
Sr Ac Mg
1 1 17
Direct
0.000 0.000 0.000
0.328 0.328 0.328
0.012 0.012 0.506
0.012 0.506 0.012
0.165 0.660 0.660
0.314 0.314 0.821
0.314 0.821 0.314
0.366 0.663 0.959
0.366 0.959 0.663
0.506 0.012 0.012
0.564 0.564 0.564
0.660 0.165 0.660
0.660 0.660 0.165
0.663 0.366 0.959
0.663 0.959 0.366
0.762 0.762 0.762
0.821 0.314 0.314
0.959 0.366 0.663
0.959 0.663 0.366
```

Symmetry: No. 160
Total magnetic moment in μB/f.u.: 0.0
Total DFT energy (no corrections) in eV/atom: -1.80
ρ in Mg/m³: 2.5
Formation energy from the elements in eV per atom: -0.07



# 10
Sr2AcMg: optimized geometry, PBE.

```
Sr2AcMg
1.0
8.801 0.000 0.000
0.000 8.801 0.000
0.000 0.000 8.801
Sr Ac Mg
8 4 4
Direct
0.250 0.250 0.250
0.250 0.250 0.750
0.250 0.750 0.250
0.250 0.750 0.750
0.750 0.250 0.250
0.750 0.250 0.750
0.750 0.750 0.250
0.750 0.750 0.750
0.000 0.000 0.000
0.000 0.500 0.500
0.500 0.000 0.500
0.500 0.500 0.000
0.000 0.000 0.500
0.000 0.500 0.000
0.500 0.000 0.000
0.500 0.500 0.500
```

Symmetry: No. 225
Total magnetic moment in μB/f.u.: 0.0
Total DFT energy (no corrections) in eV/atom: -2.11
Polymorph energy (0 for the lowest one) in eV per atom: 0.113
ρ in Mg/m³: 4.2
Formation energy from the elements in eV per atom: 0.15



# 11
SrAc4Mg5: optimized geometry, PBE.

```
SrAc4Mg5
1.0
4.139 0.000 0.000
0.000 4.139 0.000
0.000 0.000 20.580
Sr Ac Mg
1 4 5
Direct
0.000 0.000 0.000
0.000 0.000 0.203
0.000 0.000 0.400
0.000 0.000 0.600
0.000 0.000 0.797
0.500 0.500 0.104
0.500 0.500 0.301
0.500 0.500 0.500
0.500 0.500 0.699
0.500 0.500 0.896
```

Symmetry: No. 123
Total magnetic moment in μB/f.u.: 0.0
Total DFT energy (no corrections) in eV/atom: -2.69
ρ in Mg/m³: 5.3
Formation energy from the elements in eV per atom: -0.08



# 12
SrAc4Mg: optimized geometry, PBE.

```
SrAc4Mg
1.0
0.000 5.201 5.201
5.201 0.000 5.201
5.201 5.201 0.000
Sr Ac Mg
1 4 1
Direct
0.000 0.000 0.000
0.128 0.624 0.624
0.624 0.128 0.624
0.624 0.624 0.128
0.624 0.624 0.624
0.250 0.250 0.250
```

Symmetry: No. 216
Total magnetic moment in μB/f.u.: 0.0
Total DFT energy (no corrections) in eV/atom: -2.98
Polymorph energy (0 for the lowest one) in eV per atom: 0.305
ρ in Mg/m³: 6.0
Formation energy from the elements in eV per atom: 0.30